Record 1
An optimized crystal structure of YSeO2. Source: the Alexandria database, functional GGA-PBE.

CIF file:
```
data_YSeO2
_chemical_formula_sum 'Y1 Se1 O2'
_cell_length_a 6.541
_cell_length_b 6.541
_cell_length_c 6.541
_cell_angle_alpha 31.19
_cell_angle_beta 31.19
_cell_angle_gamma 31.19
_symmetry_space_group_name_H-M 'P 1'
_symmetry_Int_Tables_number 1
_symmetry_space_group_name_Hall 'P 1'
loop_
_atom_site_label
_atom_site_fract_x
_atom_site_fract_y
_atom_site_fract_z
_atom_site_occupancy
Y1 0.000 0.000 0.000 1
Se1 0.500 0.500 0.500 1
O1 0.389 0.389 0.389 1
O2 0.611 0.611 0.611 1
```

Results
* calculated density: 4.983 g cm⁻³
* VASP energy: -0.51906 Ry per atom
* symmetry: No. 166
* E_form (uncorrected): -2096 meV/atom



Record 2
An optimized crystal structure of Y3SeO. Source: the Alexandria database, functional GGA-PBE.

CIF file:
```
data_Y3SeO
_chemical_formula_sum 'Y3 Se1 O1'
_cell_length_a 4.733
_cell_length_b 4.733
_cell_length_c 4.733
_cell_angle_alpha 90.00
_cell_angle_beta 90.00
_cell_angle_gamma 90.00
_symmetry_space_group_name_H-M 'P 1'
_symmetry_Int_Tables_number 1
_symmetry_space_group_name_Hall 'P 1'
loop_
_atom_site_label
_atom_site_fract_x
_atom_site_fract_y
_atom_site_fract_z
_atom_site_occupancy
Y1 0.000 0.000 0.500 1
Y2 0.000 0.500 0.000 1
Y3 0.500 0.000 0.000 1
Se1 0.500 0.500 0.500 1
O1 0.000 0.000 0.000 1
```

Results
* calculated density: 5.664 g cm⁻³
* VASP energy: -0.50455 Ry per atom
* ΔE to the lowest computed polymorph: 0.0000 eV per atom
* symmetry: No. 221
* E_form (uncorrected): -1298 meV/atom



no.,magnetization (μB/f.u.)
1,0.00
2,0.00